Version i
This record from Alexandria describes a relaxed Rb6Se2O crystal. The functional is PBE.

It has space group Amm2 (No. 38), with a = 4.705 Å, b = 15.133 Å, c = 8.722 Å, α = 90.00°, β = 90.00° and γ = 90.00°. The inequivalent atoms are Rb at (0.000, 0.000, 0.000), Rb at (0.000, 0.115, 0.654), Rb at (0.500, 0.000, 0.363), Rb at (0.500, 0.204, 0.973), Se at (0.000, 0.167, 0.269) and O at (0.500, 0.000, 0.768).

The value obtained for the calculated volume is 34.50 Å³ per atom. The calculation puts the total magnetization at 0.016 μB per atom. As for the density: 3.7 g/cm3.

=====

Version ii
This record from Alexandria describes a relaxed Rb6Se2O crystal. The functional is PBE.

It has space group P2_1/c (No. 14), with a = 7.439 Å, b = 8.985 Å, c = 12.851 Å, α = 90.00°, β = 122.90° and γ = 90.00°. The inequivalent atoms are Rb at (0.146, 0.146, 0.451), Rb at (0.303, 0.716, 0.447), Rb at (0.352, 0.031, 0.260), Se at (0.221, 0.101, 0.760) and O at (0.500, 0.000, 0.500).

The value obtained for the calculated volume is 40.07 Å³ per atom. The calculation puts the total magnetization at 0.016 μB per atom. As for the density: 3.2 g/cm3.

=====

Which one is most stable, and which one is least stable? version ii is the most stable of them, while version i is the least stable.

=====

Version i
This record from Alexandria describes a relaxed Rb2SeO2 crystal. The functional is PBE.

It has space group I4/mmm (No. 139), with a = 3.294 Å, b = 3.294 Å, c = 19.812 Å, α = 90.00°, β = 90.00° and γ = 90.00°. The inequivalent atoms are Rb at (0.000, 0.000, 0.140), Se at (0.000, 0.000, 0.500) and O at (0.000, 0.500, 0.250).

The value obtained for the calculated volume is 21.50 Å³ per atom. The calculation puts the total magnetization at 0.000 μB per atom. As for the density: 4.4 g/cm3.

=====

Version ii
This record from Alexandria describes a relaxed Rb2SeO2 crystal. The functional is PBE.

It has space group P4/mbm (No. 127), with a = 8.723 Å, b = 8.723 Å, c = 3.162 Å, α = 90.00°, β = 90.00° and γ = 90.00°. The inequivalent atoms are Rb at (0.143, 0.357, 0.000), Se at (0.000, 0.000, 0.000) and O at (0.157, 0.657, 0.500).

The value obtained for the calculated volume is 24.06 Å³ per atom. The calculation puts the total magnetization at 0.647 μB per atom. As for the density: 3.9 g/cm3.

=====

Which one is most stable, and which one is least stable? version i is the most stable of them, while version ii is the least stable.

=====

Version i
This record from Alexandria describes a relaxed RbSeO crystal. The functional is PBE.

It has space group P1 (No. 1), with a = 4.568 Å, b = 5.532 Å, c = 6.804 Å, α = 73.29°, β = 73.06° and γ = 88.69°. The inequivalent atoms are Rb at (0.000, 0.000, 0.000), Rb at (0.189, 0.662, 0.579), Se at (0.466, 0.476, 0.115), Se at (0.735, 0.195, 0.468), O at (0.358, 0.223, 0.391) and O at (0.618, 0.950, 0.713).

The value obtained for the calculated volume is 26.20 Å³ per atom. The calculation puts the total magnetization at 0.000 μB per atom. As for the density: 3.8 g/cm3.

=====

Version ii
This record from Alexandria describes a relaxed RbSeO crystal. The functional is PBE.

It has space group Pmm2 (No. 25), with a = 3.458 Å, b = 4.524 Å, c = 4.767 Å, α = 90.00°, β = 90.00° and γ = 90.00°. The inequivalent atoms are Rb at (0.000, 0.000, 0.000), Se at (0.500, 0.500, 0.489) and O at (0.500, 0.500, 0.119).

The value obtained for the calculated volume is 24.86 Å³ per atom. The calculation puts the total magnetization at 0.000 μB per atom. As for the density: 4.0 g/cm3.

=====

Which one is most stable, and which one is least stable? version ii is the most stable of them, while version i is the least stable.